Computed, not measured: a relaxed structure of BeZnAg2 at the PBE level of DFT.

abc: 6.2186 6.2186 6.2186
angles: 90.00 90.00 90.00
With the nearest neighbours (Å) after each atom.
Space group F-43m (No. 216)
Inequivalent atoms, fractional coordinates:
Be 0.0000 0.0000 0.0000 [4 per cell]  4 Zn 2.69, 4 Ag 2.69
Zn 0.2500 0.2500 0.7500 [4 per cell]  4 Be 2.69, 4 Ag 2.69
Ag 0.0000 0.0000 0.5000 [4 per cell]  4 Zn 2.69, 4 Ag 2.69
Ag 0.2500 0.2500 0.2500 [4 per cell]  4 Be 2.69, 4 Ag 2.69

Values from the calculation:
The value obtained for the total DFT energy (no corrections) is -2.459 eV/atom. The crystal system is cubic.